1.
! Be4NiAs (PBE, optimized geometry); values from VASP
&SYSTEM
  ibrav = 0, nat = 6, ntyp = 3
/
ATOMIC_SPECIES
Ni 58.69 Ni.upf
Be 9.01 Be.upf
As 74.92 As.upf
CELL_PARAMETERS angstrom
0.0000 3.1021 3.1021
3.1021 0.0000 3.1021
3.1021 3.1021 0.0000
ATOMIC_POSITIONS crystal
Ni 0.7500 0.7500 0.7500
Be 0.3766 0.3766 0.8702
Be 0.3766 0.8702 0.3766
Be 0.3766 0.3766 0.3766
Be 0.8702 0.3766 0.3766
As 0.0000 0.0000 0.0000
! Space-group type: No. 216



2.
! Be3NiAs (PBE, optimized geometry); values from VASP
&SYSTEM
  ibrav = 0, nat = 5, ntyp = 3
/
ATOMIC_SPECIES
As 74.92 As.upf
Be 9.01 Be.upf
Ni 58.69 Ni.upf
CELL_PARAMETERS angstrom
4.0110 0.0000 0.0000
0.0000 4.0110 0.0000
0.0000 0.0000 4.0110
ATOMIC_POSITIONS crystal
As 0.5000 0.5000 0.5000
Be 0.0000 0.0000 0.5000
Be 0.5000 0.0000 0.0000
Be 0.0000 0.5000 0.0000
Ni 0.0000 0.0000 0.0000
! Energy relative to the lowest polymorph listed for this composition: 0.000 eV per atom
! Space-group type: No. 221



3.
! BeNi3As (PBE, optimized geometry); values from VASP
&SYSTEM
  ibrav = 0, nat = 5, ntyp = 3
/
ATOMIC_SPECIES
As 74.92 As.upf
Ni 58.69 Ni.upf
Be 9.01 Be.upf
CELL_PARAMETERS angstrom
4.2740 0.0000 0.0000
0.0000 4.2740 0.0000
0.0000 0.0000 4.2740
ATOMIC_POSITIONS crystal
As 0.0000 0.0000 0.0000
Ni 0.0000 0.0000 0.5000
Ni 0.5000 0.0000 0.0000
Ni 0.0000 0.5000 0.0000
Be 0.5000 0.5000 0.5000
! Energy relative to the lowest polymorph listed for this composition: 0.403 eV per atom
! Space-group type: No. 221



4.
! Be2Ni2As (PBE, optimized geometry); values from VASP
&SYSTEM
  ibrav = 0, nat = 10, ntyp = 3
/
ATOMIC_SPECIES
Ni 58.69 Ni.upf
As 74.92 As.upf
Be 9.01 Be.upf
CELL_PARAMETERS angstrom
-4.7436 4.0217 0.7844
-1.2145 -2.5260 5.6067
1.7324 1.8111 1.1912
ATOMIC_POSITIONS crystal
Ni 0.3488 0.8488 0.0000
Ni 0.6512 0.1512 0.0000
Ni 0.1512 0.3488 0.0000
Ni 0.8488 0.6512 0.0000
As 0.0000 0.0000 0.0000
As 0.5000 0.5000 0.0000
Be 0.3635 0.1365 0.5000
Be 0.6365 0.8635 0.5000
Be 0.1365 0.6365 0.5000
Be 0.8635 0.3635 0.5000
! Energy relative to the lowest polymorph listed for this composition: 0.000 eV per atom
! Space-group type: No. 127



5.
! Np2BeNi3As4 (PBE, optimized geometry); values from VASP
&SYSTEM
  ibrav = 0, nat = 10, ntyp = 4
/
ATOMIC_SPECIES
Ni 58.69 Ni.upf
Np 237.00 Np.upf
As 74.92 As.upf
Be 9.01 Be.upf
CELL_PARAMETERS angstrom
-2.2994 -2.8312 -2.0278
2.1523 0.7549 -3.4947
6.0902 -6.6100 2.3230
ATOMIC_POSITIONS crystal
Ni 0.5000 0.0000 0.8818
Ni 0.0000 0.0000 0.5000
Ni 0.0000 0.5000 0.1182
Np 0.5000 0.0000 0.2513
Np 0.0000 0.5000 0.7487
As 0.0000 0.0000 0.0000
As 0.5000 0.0000 0.6314
As 0.5000 0.5000 0.0000
As 0.0000 0.5000 0.3686
Be 0.5000 0.5000 0.5000
! Space-group type: No. 115



no.,E_form (eV/atom)
1,0.0752
2,0.4940
3,0.6489
4,-0.1233
5,-0.4152